Run i
! DyEr7Tm4, relaxed, DFT PBE-GGA; values from VASP
&SYSTEM
  ibrav = 0, nat = 12, ntyp = 3
/
ATOMIC_SPECIES
Dy 162.50 Dy.upf
Er 167.26 Er.upf
Tm 168.93 Tm.upf
CELL_PARAMETERS angstrom
5.9318 -1.2984 2.8227
1.1747 5.8018 2.4518
2.6515 -1.8489 11.0818
ATOMIC_POSITIONS angstrom
Dy 0.0000 0.0000 0.0000
Er 7.8738 0.2013 14.0456
Er 1.8842 2.4532 2.3107
Er 2.4303 0.5772 8.0546
Er 7.3277 2.0772 8.3017
Er 4.2384 3.2088 9.5585
Er 2.9659 -0.6492 1.4113
Er 5.5196 -0.5544 6.7978
Tm 4.6024 2.5079 6.2126
Tm 5.1556 0.1465 10.1437
Tm 6.9316 2.6826 11.6464
Tm 2.8264 -0.0282 4.7099
! calculated volume	30.598	Å³ per atom
! theoretical density	9.09	g cm⁻³
! M_tot	0.0	μB per formula unit

***

Run ii
! DyEr7Tm4, relaxed, DFT PBE-GGA; values from VASP
&SYSTEM
  ibrav = 0, nat = 12, ntyp = 3
/
ATOMIC_SPECIES
Dy 162.50 Dy.upf
Er 167.26 Er.upf
Tm 168.93 Tm.upf
CELL_PARAMETERS angstrom
3.4973 0.0000 0.0000
-1.7487 3.0288 0.0000
0.0000 0.0000 34.1886
ATOMIC_POSITIONS angstrom
Dy 0.0000 0.0000 17.0943
Er 0.0000 0.0000 0.0000
Er 1.7487 1.0096 19.9738
Er 0.0000 2.0192 14.2147
Er 1.7487 1.0096 28.5122
Er 0.0000 2.0192 5.6764
Er 0.0000 0.0000 8.5312
Er 0.0000 0.0000 25.6574
Tm 1.7487 1.0096 2.8372
Tm 0.0000 2.0192 31.3513
Tm 1.7487 1.0096 11.3738
Tm 0.0000 2.0192 22.8148
! calculated volume	30.179	Å³ per atom
! theoretical density	9.21	g cm⁻³
! M_tot	0.0	μB per formula unit

***

Energy ordering: run ii at the bottom, the next structure 6.4 kJ/mol of atoms above.

***

Run i
! DyEr3Tm4, relaxed, DFT PBE-GGA; values from VASP
&SYSTEM
  ibrav = 0, nat = 16, ntyp = 3
/
ATOMIC_SPECIES
Dy 162.50 Dy.upf
Er 167.26 Er.upf
Tm 168.93 Tm.upf
CELL_PARAMETERS angstrom
6.1833 0.0000 0.0000
0.0000 7.1522 0.0000
0.0000 0.0000 11.0540
ATOMIC_POSITIONS angstrom
Dy 0.9137 2.6773 0.0000
Dy 4.0053 4.4749 5.5270
Er 4.0035 4.4753 0.0000
Er 6.0676 4.4750 2.7625
Er 2.9759 2.6772 2.7645
Er 0.9119 2.6769 5.5270
Er 2.9759 2.6772 8.2895
Er 6.0676 4.4750 8.2914
Tm 0.9115 6.2652 0.0000
Tm 4.0073 0.8909 0.0000
Tm 6.0656 0.8880 2.7690
Tm 2.9740 6.2642 2.7579
Tm 0.9156 6.2613 5.5270
Tm 4.0032 0.8870 5.5270
Tm 2.9740 6.2642 8.2960
Tm 6.0656 0.8880 8.2849
! calculated volume	30.553	Å³ per atom
! theoretical density	9.10	g cm⁻³
! M_tot	0.0	μB per formula unit

***

Run ii
! DyEr3Tm4, relaxed, DFT PBE-GGA; values from VASP
&SYSTEM
  ibrav = 0, nat = 8, ntyp = 3
/
ATOMIC_SPECIES
Er 167.26 Er.upf
Tm 168.93 Tm.upf
Dy 162.50 Dy.upf
CELL_PARAMETERS angstrom
5.4200 0.0000 -1.0803
-0.0634 3.4906 -0.3179
-0.2025 1.1975 13.1201
ATOMIC_POSITIONS angstrom
Er -0.0317 1.7453 -0.1589
Er 4.3712 4.3139 7.7939
Er 0.7830 0.3743 3.9280
Tm 3.1987 1.9928 1.9115
Tm 1.9555 2.6954 9.8104
Tm 1.3568 2.4043 6.8068
Tm 3.7974 2.2839 4.9151
Dy 2.7100 0.0000 -0.5402
! calculated volume	31.201	Å³ per atom
! theoretical density	8.91	g cm⁻³
! M_tot	0.0	μB per formula unit

***

Energy ordering: run i at the bottom, the next structure 21.1 kJ/mol of atoms above.

***

Run i
! Dy7Er2Tm, relaxed, DFT PBE-GGA; values from VASP
&SYSTEM
  ibrav = 0, nat = 10, ntyp = 3
/
ATOMIC_SPECIES
Dy 162.50 Dy.upf
Er 167.26 Er.upf
Tm 168.93 Tm.upf
CELL_PARAMETERS angstrom
-3.7003 -4.2157 -2.3835
-5.3926 -8.6170 2.8468
-4.6278 6.2220 1.3648
ATOMIC_POSITIONS angstrom
Dy -6.9212 -2.7210 2.5748
Dy -6.7995 -3.8897 -0.7467
Dy -9.8978 -3.5647 0.8957
Dy -3.8229 -3.0460 0.9324
Dy -8.3682 -9.4624 1.1678
Dy -5.3524 2.8517 0.6604
Dy -4.5465 -6.4163 0.2317
Er -7.6443 -6.0910 1.8741
Er -6.0764 -0.5196 -0.0460
Tm 0.0000 0.0000 0.0000
! calculated volume	30.859	Å³ per atom
! theoretical density	8.83	g cm⁻³
! M_tot	0.0	μB per formula unit

***

Run ii
! Dy7Er2Tm, relaxed, DFT PBE-GGA; values from VASP
&SYSTEM
  ibrav = 0, nat = 10, ntyp = 3
/
ATOMIC_SPECIES
Dy 162.50 Dy.upf
Er 167.26 Er.upf
Tm 168.93 Tm.upf
CELL_PARAMETERS angstrom
-2.2823 -1.5202 -4.4472
-7.1003 -3.8522 4.9607
0.3062 8.9161 -3.2049
ATOMIC_POSITIONS angstrom
Dy -5.6296 -1.3169 3.3392
Dy -1.1645 6.3808 -1.5835
Dy -1.5457 1.5387 -2.8018
Dy -7.5307 2.0051 0.1103
Dy -3.1633 -1.2501 -1.0183
Dy -5.9130 4.7938 -1.6731
Dy -4.5382 1.7719 -1.3457
Er -6.0356 -0.8095 0.3051
Er -3.0408 4.3532 -2.9965
Tm 0.0000 0.0000 0.0000
! calculated volume	38.135	Å³ per atom
! theoretical density	7.15	g cm⁻³
! M_tot	0.0	μB per formula unit

***

Energy ordering: run i at the bottom, the next structure 65.2 kJ/mol of atoms above.

***

Run i
! Dy5Er2Tm, relaxed, DFT PBE-GGA; values from VASP
&SYSTEM
  ibrav = 0, nat = 16, ntyp = 3
/
ATOMIC_SPECIES
Dy 162.50 Dy.upf
Er 167.26 Er.upf
Tm 168.93 Tm.upf
CELL_PARAMETERS angstrom
-1.2927 -4.7796 -0.4290
4.7629 -0.8293 -5.1133
9.6926 -3.4827 9.5934
ATOMIC_POSITIONS angstrom
Dy 0.0000 0.0000 0.0000
Dy 7.2278 -2.1560 2.2400
Dy 9.6544 -3.0279 4.6418
Dy 4.8012 -1.2841 -0.1617
Dy 7.1896 -1.7012 -2.7115
Dy 7.2660 -2.6108 7.1916
Dy 9.0288 -5.6454 6.9017
Dy 4.1341 -3.4461 -2.8507
Dy 4.1796 -3.9036 2.1081
Dy 8.9832 -5.1880 1.9430
Er 6.5982 -4.7724 4.4996
Er 6.5647 -4.3192 -0.4485
Er 1.7524 -3.0311 -0.2977
Er 11.4104 -6.0604 4.3488
Tm 4.8463 -1.7414 4.7967
Tm 2.3815 -0.4146 -2.5566
! calculated volume	30.765	Å³ per atom
! theoretical density	8.88	g cm⁻³
! M_tot	0.0	μB per formula unit

***

Run ii
! Dy5Er2Tm, relaxed, DFT PBE-GGA; values from VASP
&SYSTEM
  ibrav = 0, nat = 16, ntyp = 3
/
ATOMIC_SPECIES
Dy 162.50 Dy.upf
Er 167.26 Er.upf
Tm 168.93 Tm.upf
CELL_PARAMETERS angstrom
-0.7949 5.3934 -1.1493
-3.9507 -4.7340 -5.9621
-9.3982 -0.0495 6.2676
ATOMIC_POSITIONS angstrom
Dy -12.6895 0.8030 -0.9462
Dy -10.1008 0.8163 -2.6740
Dy -7.5282 -1.6994 -2.7523
Dy -4.3349 -1.6827 -4.8822
Dy -3.6721 2.2507 -0.3985
Dy -10.4716 -1.6407 -0.4453
Dy -6.6156 2.3094 1.9086
Dy -9.8088 2.2927 4.0384
Dy -1.4542 -0.1930 0.1025
Dy -4.0430 -0.2063 1.8303
Er -6.8339 1.5092 -1.6852
Er -3.6392 1.5261 -3.8153
Er -7.3098 -0.8992 0.8415
Er -10.5045 -0.9162 2.9716
Tm -9.8145 1.5497 0.5649
Tm -4.3292 -0.9397 -1.4087
! calculated volume	31.905	Å³ per atom
! theoretical density	8.56	g cm⁻³
! M_tot	0.0	μB per formula unit

***

Energy ordering: run i at the bottom, the next structure 11.6 kJ/mol of atoms above.